# LaCuAs | Alexandria | PBE | optimized geometry
data_LaCuAs
_chemical_formula_sum 'La2 Cu2 As2'
_space_group_name_H-M_alt 'I 4 m m'
_space_group_IT_number 107
_space_group_name_Hall 'I 4 -2'
_cell_length_a 4.1557
_cell_length_b 4.1557
_cell_length_c 8.3161
_cell_angle_alpha 90.00
_cell_angle_beta 90.00
_cell_angle_gamma 90.00
loop_
_atom_site_label
_atom_site_type_symbol
_atom_site_fract_x
_atom_site_fract_y
_atom_site_fract_z
_atom_site_occupancy
La1 La 0.0000 0.0000 0.0000 1
Cu1 Cu 0.0000 0.0000 0.6531 1
As1 As 0.0000 0.0000 0.3635 1
# - Size of the total moment: 0.0 μB per formula unit
# - Energy of formation from the pure elements: -0.486 eV per atom